# 1
Entry from Alexandria via LeMat-Bulk: a relaxed Th2AlGa crystal (PBE).

Output
polymorph energy (0 for the lowest one): 1.22 eV/f.u.
energy: -66.3 eV/cell
formation enthalpy at 0 K: -121 meV per atom
density of states at the Fermi level: 3.19 states/eV/f.u.

a = 3.751 Å, b = 3.751 Å, c = 27.173 Å
α = 90.00°, β = 90.00°, γ = 120.00°
Element x y z (fractional)
Th  0.000  0.000  0.249
Th  0.000  0.000  0.751
Th  0.333  0.667  0.418
Th  0.333  0.667  0.915
Th  0.667  0.333  0.085
Th  0.667  0.333  0.582
Al  0.000  0.000  0.000
Al  0.333  0.667  0.667
Al  0.667  0.333  0.333
Ga  0.000  0.000  0.500
Ga  0.333  0.667  0.167
Ga  0.667  0.333  0.833



# 2
Entry from Alexandria via LeMat-Bulk: a relaxed ThAl2Ga crystal (PBE).

Output
energy: -50.3 eV/cell
formation enthalpy at 0 K: 288 meV per atom
density of states at the Fermi level: 1.81 states/eV/f.u.

a = 3.229 Å, b = 3.229 Å, c = 30.978 Å
α = 90.00°, β = 90.00°, γ = 120.00°
Element x y z (fractional)
Th  0.000  0.000  0.000
Th  0.333  0.667  0.667
Th  0.667  0.333  0.333
Al  0.000  0.000  0.101
Al  0.000  0.000  0.899
Al  0.333  0.667  0.566
Al  0.333  0.667  0.767
Al  0.667  0.333  0.233
Al  0.667  0.333  0.434
Ga  0.000  0.000  0.500
Ga  0.333  0.667  0.167
Ga  0.667  0.333  0.833



# 3
Entry from Alexandria via LeMat-Bulk: a relaxed Th2AlGa3 crystal (PBE).

Output
energy: -62.5 eV/cell
formation enthalpy at 0 K: -600 meV per atom
density of states at the Fermi level: 1.02 states/eV/f.u.

a = 8.600 Å, b = 8.567 Å, c = 6.037 Å
α = 69.71°, β = 69.12°, γ = 41.18°
Element x y z (fractional)
Th  0.249  0.751  0.751
Th  0.250  0.250  0.250
Th  0.750  0.750  0.750
Th  0.751  0.249  0.249
Al  0.334  0.334  0.666
Al  0.666  0.666  0.334
Ga  0.167  0.167  0.833
Ga  0.167  0.667  0.333
Ga  0.333  0.833  0.167
Ga  0.667  0.167  0.833
Ga  0.833  0.333  0.667
Ga  0.833  0.833  0.167



# 4
Entry from Alexandria via LeMat-Bulk: a relaxed Th3AlGa2 crystal (PBE).

Output
energy: -137.7 eV/cell
formation enthalpy at 0 K: -396 meV per atom
density of states at the Fermi level: 5.70 states/eV/f.u.

a = 12.358 Å, b = 4.306 Å, c = 11.710 Å
α = 90.00°, β = 90.00°, γ = 90.00°
Element x y z (fractional)
Th  0.050  0.250  0.116
Th  0.123  0.750  0.568
Th  0.204  0.250  0.792
Th  0.296  0.750  0.292
Th  0.377  0.250  0.068
Th  0.450  0.750  0.616
Th  0.550  0.250  0.384
Th  0.623  0.750  0.932
Th  0.704  0.250  0.708
Th  0.796  0.750  0.208
Th  0.877  0.250  0.432
Th  0.950  0.750  0.884
Al  0.130  0.250  0.372
Al  0.370  0.750  0.872
Al  0.630  0.250  0.128
Al  0.870  0.750  0.628
Ga  0.026  0.750  0.311
Ga  0.194  0.750  0.999
Ga  0.306  0.250  0.499
Ga  0.474  0.250  0.811
Ga  0.526  0.750  0.189
Ga  0.694  0.750  0.501
Ga  0.806  0.250  0.001
Ga  0.974  0.250  0.689



# 5
Entry from Alexandria via LeMat-Bulk: a relaxed Th2Al3Ga crystal (PBE).

Output
energy: -64.3 eV/cell
formation enthalpy at 0 K: -507 meV per atom
density of states at the Fermi level: 0.80 states/eV/f.u.

a = 8.735 Å, b = 8.654 Å, c = 6.062 Å
α = 70.32°, β = 68.88°, γ = 40.80°
Element x y z (fractional)
Th  0.250  0.250  0.250
Th  0.250  0.750  0.750
Th  0.750  0.250  0.250
Th  0.750  0.750  0.750
Al  0.167  0.665  0.335
Al  0.168  0.168  0.832
Al  0.335  0.833  0.167
Al  0.665  0.167  0.833
Al  0.832  0.832  0.168
Al  0.833  0.335  0.665
Ga  0.333  0.333  0.667
Ga  0.667  0.667  0.333



# 6
Entry from Alexandria via LeMat-Bulk: a relaxed Th2Al3Ga crystal (PBE).

Output
energy: -32.1 eV/cell
formation enthalpy at 0 K: -506 meV per atom
density of states at the Fermi level: 1.34 states/eV/f.u.

a = 4.198 Å, b = 4.370 Å, c = 7.569 Å
α = 90.00°, β = 90.00°, γ = 90.00°
Element x y z (fractional)
Th  0.000  0.000  0.000
Th  0.000  0.500  0.499
Al  0.500  0.000  0.664
Al  0.500  0.500  0.168
Al  0.500  0.500  0.832
Ga  0.500  0.000  0.333



# 7
Entry from Alexandria via LeMat-Bulk: a relaxed ThAlGa4 crystal (PBE).

Output
energy: -24.2 eV/cell
formation enthalpy at 0 K: -148 meV per atom
density of states at the Fermi level: 7.50 states/eV/f.u.

a = 5.558 Å, b = 5.558 Å, c = 5.558 Å
α = 60.00°, β = 60.00°, γ = 60.00°
Element x y z (fractional)
Th  0.000  0.000  0.000
Al  0.750  0.750  0.750
Ga  0.376  0.376  0.376
Ga  0.376  0.376  0.873
Ga  0.376  0.873  0.376
Ga  0.873  0.376  0.376



# 8
Entry from Alexandria via LeMat-Bulk: a relaxed Th2AlGa crystal (PBE).

Output
polymorph energy (0 for the lowest one): 0.40 eV/f.u.
energy: -22.9 eV/cell
formation enthalpy at 0 K: -329 meV per atom
density of states at the Fermi level: 3.13 states/eV/f.u.

a = 4.832 Å, b = 4.832 Å, c = 4.312 Å
α = 90.00°, β = 90.00°, γ = 90.00°
Element x y z (fractional)
Th  0.000  0.500  0.000
Th  0.500  0.000  0.000
Al  0.000  0.000  0.500
Ga  0.500  0.500  0.500